(1)
A relaxed structure of BiPdRhCl2. Source: the Alexandria database, functional PBE.

Unit cell a=4.6057 b=5.8820 c=4.6057 alpha=90.00 beta=90.00 gamma=90.00
Positions (direct):
Cl  0.5000  0.0000  0.0000
Cl  0.0000  0.0000  0.5000
Pd  0.0000  0.0000  0.0000
Rh  0.5000  0.5000  0.5000
Bi  0.0000  0.5000  0.0000

Crystal system = tetragonal
Final energy = -3.61 eV/atom

(2)
A relaxed structure of Pr6Al2Ga. Source: the Alexandria database, functional PBE.

Unit cell a=7.6678 b=7.6678 c=11.1217 alpha=90.00 beta=90.00 gamma=90.00
Positions (direct):
Pr  0.7830  0.2170  0.1679
Pr  0.2170  0.7830  0.1679
Pr  0.7830  0.2170  0.8321
Pr  0.7713  0.2287  0.5000
Pr  0.2830  0.2830  0.6679
Pr  0.2170  0.7830  0.8321
Pr  0.2830  0.2830  0.3321
Pr  0.7287  0.7287  0.0000
Pr  0.7170  0.7170  0.3321
Pr  0.2287  0.7713  0.5000
Pr  0.2713  0.2713  0.0000
Pr  0.7170  0.7170  0.6679
Al  0.0000  0.0000  0.6508
Al  0.0000  0.0000  0.3492
Al  0.5000  0.5000  0.1508
Al  0.5000  0.5000  0.8492
Ga  0.5000  0.5000  0.5000
Ga  0.0000  0.0000  0.0000

Crystal system = tetragonal
Distance to the lowest polymorph of the same formula = 0.298 eV/atom

(3)
A relaxed structure of MgScGe. Source: the Alexandria database, functional PBE.

Unit cell a=4.5228 b=4.5228 c=4.5228 alpha=60.00 beta=60.00 gamma=60.00
Positions (direct):
Mg  0.5000  0.5000  0.5000
Sc  0.0000  0.0000  0.0000
Ge  0.2500  0.2500  0.2500

Crystal system = cubic
Final energy = -4.61 eV/atom

(4)
A relaxed structure of Pr2DyYMg. Source: the Alexandria database, functional PBE.

Unit cell a=7.2585 b=7.5805 c=5.9799 alpha=90.00 beta=90.00 gamma=90.00
Positions (direct):
Dy  0.1524  0.5000  0.7500
Dy  0.8476  0.5000  0.2500
Pr  0.3056  0.7138  0.2500
Pr  0.3056  0.2862  0.2500
Pr  0.6944  0.7138  0.7500
Pr  0.6944  0.2862  0.7500
Y  0.6253  0.0000  0.2500
Y  0.3747  0.0000  0.7500
Mg  0.0000  0.0000  0.0000
Mg  0.0000  0.0000  0.5000

Crystal system = orthorhombic
Final energy = -4.29 eV/atom

Computed values of DOS at the Fermi energy (unit: states/eV/atom) for the preceding records, in sequence: 1.17 1.53 0.64 1.45.